[1]
VASP calculation (PBE) on NdZn4Ni4 after structural relaxation.

Computed properties:
E_tot	-0.1389	Ha/atom
ΔE_f	-0.11	eV/atom
calculated density	7.815	Mg/m³

Unit cell a=8.0087 b=8.0087 c=4.2446 alpha=90.00 beta=90.00 gamma=90.00
With the nearest neighbours (Å) after each atom.
Space group P4_2/n (No. 86, origin choice 2)
Inequivalent atoms, fractional coordinates:
Nd 0.2500 0.2500 0.2500 x2  8 Ni 3.02-3.03, 4 Zn 3.08
Zn 0.1241 0.8381 0.7476 x8  4 Ni 2.37-2.54, 1 Zn 2.46
Ni 0.0171 0.1141 0.7523 x8  4 Zn 2.37-2.54


[2]
VASP calculation (PBE) on Nd2Zn5Ni3 after structural relaxation.

Computed properties:
E_tot	-0.1327	Ha/atom
ΔE_f	-0.29	eV/atom
calculated density	7.471	Mg/m³

Unit cell a=3.9826 b=3.9826 c=11.0928 alpha=90.00 beta=90.00 gamma=90.00
With the nearest neighbours (Å) after each atom.
Space group P-4m2 (No. 115)
Inequivalent atoms, fractional coordinates:
Nd 0.0000 0.5000 0.2254 x2  6 Ni 3.01-3.20, 6 Zn 3.13-3.20
Zn 0.0000 0.0000 0.5000 x1  8 Zn 2.60-2.82
Zn 0.0000 0.5000 0.6504 x2  1 Ni 2.44, 4 Zn 2.60
Zn 0.5000 0.5000 0.0000 x1  4 Ni 2.45
Zn 0.5000 0.5000 0.5000 x1  8 Zn 2.60-2.82
Ni 0.0000 0.0000 0.0000 x1  4 Ni 2.45
Ni 0.0000 0.5000 0.8706 x2  3 Zn 2.44-2.45, 2 Ni 2.45


[3]
VASP calculation (PBE) on NdZnNi after structural relaxation.

Computed properties:
E_tot	-0.1585	Ha/atom
ΔE_f	-0.37	eV/atom
calculated density	7.600	Mg/m³

Unit cell a=12.6000 b=3.8985 c=7.1612 alpha=90.00 beta=90.00 gamma=90.00
With the nearest neighbours (Å) after each atom.
Space group Pmma (No. 51)
Inequivalent atoms, fractional coordinates:
Nd 0.0421 0.0000 0.2446 x4  5 Ni 2.97-2.99, 6 Zn 3.22-3.27
Nd 0.2500 0.0000 0.6246 x2  5 Ni 2.84-3.04, 2 Zn 3.16
Zn 0.1386 0.5000 0.9201 x4  3 Ni 2.57-2.72, 1 Zn 2.81
Zn 0.2500 0.5000 0.2779 x2  4 Ni 2.55-2.78
Ni 0.0918 0.5000 0.5488 x4  1 Ni 2.42
Ni 0.2500 0.0000 0.0490 x2  6 Zn 2.55-2.57


[4]
VASP calculation (PBE) on NdZn2Ni4 after structural relaxation.

Computed properties:
E_tot	-0.1510	Ha/atom
relative energy among the computed polymorphs	486	meV per atom
ΔE_f	0.24	eV/atom
calculated density	6.528	Mg/m³

Unit cell a=7.0239 b=7.0239 c=5.2573 alpha=90.00 beta=90.00 gamma=90.00
With the nearest neighbours (Å) after each atom.
Space group I4/mmm (No. 139)
Inequivalent atoms, fractional coordinates:
Nd 0.0000 0.0000 0.0000 x2  8 Ni 3.06
Zn 0.0000 0.5000 0.2500 x4  4 Ni 2.34
Ni 0.0000 0.2239 0.5000 x8  2 Ni 2.22, 2 Zn 2.34


[5]
VASP calculation (PBE) on Nd3Zn2Ni9 after structural relaxation.

Computed properties:
E_tot	-0.1903	Ha/atom
ΔE_f	-0.26	eV/atom
calculated density	8.050	Mg/m³

Unit cell a=4.0382 b=9.1055 c=12.2491 alpha=90.00 beta=90.00 gamma=90.00
With the nearest neighbours (Å) after each atom.
Space group Immm (No. 71)
Inequivalent atoms, fractional coordinates:
Nd 0.0000 0.0000 0.0000 x2  4 Ni 2.84
Nd 0.0000 0.0000 0.3044 x4  12 Ni 2.88-3.13, 2 Zn 3.10
Zn 0.0000 0.2156 0.5000 x4  6 Ni 2.43-2.55
Ni 0.0000 0.2744 0.1096 x8  5 Ni 2.42-2.68, 2 Zn 2.43
Ni 0.0000 0.3168 0.3056 x8  3 Ni 2.42-2.43, 1 Zn 2.55
Ni 0.0000 0.5000 0.0000 x2  4 Ni 2.45


[6]
VASP calculation (PBE) on NdZn8Ni2 after structural relaxation.

Computed properties:
E_tot	-0.0842	Ha/atom
ΔE_f	0.12	eV/atom
calculated density	6.382	Mg/m³

Unit cell a=6.3338 b=6.3338 c=5.0909 alpha=90.00 beta=90.00 gamma=90.00
With the nearest neighbours (Å) after each atom.
Space group P4/mmm (No. 123)
Inequivalent atoms, fractional coordinates:
Nd 0.0000 0.0000 0.0000 x1  8 Zn 2.94
Zn 0.2944 0.2944 0.2566 x8  4 Zn 2.48-2.61, 2 Ni 2.59
Ni 0.0000 0.5000 0.5000 x2  8 Zn 2.59


[7]
VASP calculation (PBE) on NdZn2Ni after structural relaxation.

Computed properties:
E_tot	-0.1303	Ha/atom
ΔE_f	-0.27	eV/atom
calculated density	7.178	Mg/m³

Unit cell a=4.1787 b=4.1787 c=15.3170 alpha=90.00 beta=90.00 gamma=120.00
With the nearest neighbours (Å) after each atom.
Space group R-3m (No. 166, hexagonal axes)
Inequivalent atoms, fractional coordinates:
Nd 0.0000 0.0000 0.0000 x3  8 Zn 3.11-3.14
Zn 0.0000 0.0000 0.2050 x6  3 Ni 2.48, 3 Zn 2.68
Ni 0.0000 0.0000 0.5000 x3  6 Zn 2.48


[8]
VASP calculation (PBE) on NdZn12Ni4 after structural relaxation.

Computed properties:
E_tot	-0.0893	Ha/atom
ΔE_f	0.11	eV/atom
calculated density	6.398	Mg/m³

Unit cell a=8.4540 b=8.4540 c=8.4540 alpha=90.00 beta=90.00 gamma=90.00
With the nearest neighbours (Å) after each atom.
Space group Im-3 (No. 204)
Inequivalent atoms, fractional coordinates:
Nd 0.0000 0.0000 0.0000 x2  12 Zn 3.26
Zn 0.0000 0.1672 0.3471 x24  2 Ni 2.37, 1 Zn 2.58
Ni 0.2500 0.2500 0.2500 x8  6 Zn 2.37